Here is a geometry-optimized AlIrCl2 structure from Alexandria. Energies are from PBEsol.

Unit cell a=3.9456 b=4.0644 c=4.0644 alpha=90.00 beta=90.00 gamma=90.00
Closest atoms and distances in Å follow each position.
Positions (direct):
Cl 0.0000 0.0000 0.5000  4 Al 2.83, 4 Ir 2.83, 4 Cl 2.87
Cl 0.0000 0.5000 0.0000  4 Al 2.83, 4 Ir 2.83, 4 Cl 2.87
Al 0.5000 0.0000 0.0000  8 Cl 2.83, 4 Ir 2.87
Ir 0.5000 0.5000 0.5000  8 Cl 2.83, 4 Al 2.87

Output
The density of states at the Fermi level is 0.85 states/eV/atom. Its space-group type is P4/mmm (123). The calculation puts the total magnetic moment at 0.0 Bohr magnetons per cell. The energy above the most stable polymorph in this dataset comes out at 0.153 eV per atom.